[1]
Entry from Alexandria: an optimized crystal structure of Ga2SiAsPb (PBE).

Fermi-level density of states = 4.68 states/eV per cell
Space-group type = P4/mmm (123)
Total magnetization = 0.0 μB/f.u.
E_form (uncorrected) = 1.127 eV/atom

Unit cell a=5.327 b=5.327 c=5.539 alpha=90.00 beta=90.00 gamma=90.00
Fractional coordinates of all 5 atoms:
Ga 0.000 0.500 0.000
Ga 0.500 0.000 0.000
Si 0.000 0.000 0.500
As 0.500 0.500 0.500
Pb 0.500 0.500 0.000



[2]
Entry from Alexandria: an optimized crystal structure of HfTeIN2 (PBE).

Fermi-level density of states = 3.76 states/eV per cell
Space-group type = P4/mmm (123)
Total magnetization = 0.2 μB/f.u.
E_form (uncorrected) = 0.566 eV/atom

Unit cell a=4.260 b=4.260 c=6.118 alpha=90.00 beta=90.00 gamma=90.00
Fractional coordinates of all 5 atoms:
Hf 0.000 0.000 0.000
Te 0.500 0.500 0.500
I 0.000 0.000 0.500
N 0.000 0.500 0.000
N 0.500 0.000 0.000



[3]
Entry from Alexandria: an optimized crystal structure of TlAsPb2S4 (PBE).

Space-group type = P1 (1)
Total magnetization = 0.0 μB/f.u.
E_form (uncorrected) = -0.374 eV/atom

Unit cell a=8.581 b=8.659 c=8.697 alpha=119.58 beta=90.71 gamma=119.12
Fractional coordinates of all 16 atoms:
Tl 0.000 0.000 0.000
Tl 0.498 0.018 0.005
As 0.501 0.571 0.044
As 0.550 0.575 0.474
Pb 0.003 0.524 0.011
Pb 0.029 0.020 0.512
Pb 0.503 0.025 0.508
Pb 0.995 0.526 0.512
S 0.226 0.956 0.245
S 0.228 0.956 0.709
S 0.270 0.505 0.832
S 0.332 0.526 0.252
S 0.707 0.933 0.227
S 0.717 0.931 0.692
S 0.751 0.539 0.305
S 0.790 0.491 0.743



[4]
Entry from Alexandria: an optimized crystal structure of Pm3Sm5Sb8 (PBE).

Fermi-level density of states = 2.08 states/eV per cell
Space-group type = R-3m (166)
Total magnetization = 0.0 μB/f.u.
E_form (uncorrected) = -1.181 eV/atom

Unit cell a=8.960 b=8.960 c=8.960 alpha=60.00 beta=60.00 gamma=60.00
Fractional coordinates of all 16 atoms:
Pm 0.000 0.500 0.500
Pm 0.500 0.000 0.500
Pm 0.500 0.500 0.000
Sm 0.000 0.000 0.000
Sm 0.000 0.000 0.500
Sm 0.000 0.500 0.000
Sm 0.500 0.000 0.000
Sm 0.500 0.500 0.500
Sb 0.249 0.750 0.750
Sb 0.250 0.250 0.250
Sb 0.250 0.250 0.751
Sb 0.250 0.751 0.250
Sb 0.750 0.249 0.750
Sb 0.750 0.750 0.249
Sb 0.750 0.750 0.750
Sb 0.751 0.250 0.250



[5]
Entry from Alexandria: an optimized crystal structure of BaCoPb2 (PBE).

Fermi-level density of states = 5.95 states/eV per cell
Energy of formation from the pure elements = 0.089 eV per atom
Space-group type = Immm (71)
Total magnetization = 0.8 μB/f.u.

Unit cell a=3.497 b=6.097 c=10.638 alpha=90.00 beta=90.00 gamma=90.00
Fractional coordinates of all 8 atoms:
Ba 0.000 0.000 0.000
Ba 0.500 0.500 0.500
Co 0.000 0.000 0.500
Co 0.500 0.500 0.000
Pb 0.000 0.500 0.197
Pb 0.000 0.500 0.803
Pb 0.500 0.000 0.303
Pb 0.500 0.000 0.697



[6]
Entry from Alexandria: an optimized crystal structure of Ac2CuIr (PBE).

Fermi-level density of states = 2.85 states/eV per cell
Energy of formation from the pure elements = -0.299 eV per atom
Space-group type = P4/mmm (123)
Total magnetization = 0.0 μB/f.u.

Unit cell a=5.264 b=5.264 c=3.789 alpha=90.00 beta=90.00 gamma=90.00
Fractional coordinates of all 4 atoms:
Ac 0.000 0.500 0.000
Ac 0.500 0.000 0.000
Cu 0.000 0.000 0.500
Ir 0.500 0.500 0.500



[7]
Entry from Alexandria: an optimized crystal structure of BaReAu2 (PBE).

Fermi-level density of states = 7.76 states/eV per cell
Energy of formation from the pure elements = 0.684 eV per atom
Space-group type = Imm2 (44)
Total magnetization = 0.6 μB/f.u.

Unit cell a=3.071 b=5.335 c=10.828 alpha=90.00 beta=90.00 gamma=90.00
Fractional coordinates of all 8 atoms:
Ba 0.000 0.000 0.000
Ba 0.500 0.500 0.500
Re 0.000 0.500 0.771
Re 0.500 0.000 0.271
Au 0.000 0.000 0.483
Au 0.000 0.500 0.221
Au 0.500 0.000 0.721
Au 0.500 0.500 0.983



[8]
Entry from Alexandria: an optimized crystal structure of Li2TlNi2 (PBE).

Fermi-level density of states = 5.43 states/eV per cell
Energy of formation from the pure elements = 0.172 eV per atom
Space-group type = P4/mbm (127)
Total magnetization = 0.0 μB/f.u.

Unit cell a=6.883 b=6.883 c=2.919 alpha=90.00 beta=90.00 gamma=90.00
Fractional coordinates of all 10 atoms:
Li 0.120 0.380 0.000
Li 0.380 0.880 0.000
Li 0.620 0.120 0.000
Li 0.880 0.620 0.000
Tl 0.000 0.000 0.000
Tl 0.500 0.500 0.000
Ni 0.178 0.678 0.500
Ni 0.322 0.178 0.500
Ni 0.678 0.822 0.500
Ni 0.822 0.322 0.500



[9]
Entry from Alexandria: an optimized crystal structure of SmUTc (PBE).

Fermi-level density of states = 5.52 states/eV per cell
Energy of formation from the pure elements = 0.264 eV per atom
Space-group type = P3m1 (156)
Total magnetization = 0.0 μB/f.u.

Unit cell a=3.484 b=3.484 c=6.666 alpha=90.00 beta=90.00 gamma=120.00
Fractional coordinates of all 3 atoms:
Sm 0.000 0.000 0.000
U 0.667 0.333 0.397
Tc 0.333 0.667 0.630



[10]
Entry from Alexandria: an optimized crystal structure of RbInSi2Tc (PBE).

Fermi-level density of states = 2.22 states/eV per cell
Space-group type = P4/mmm (123)
Total magnetization = 0.0 μB/f.u.
E_form (uncorrected) = 0.106 eV/atom

Unit cell a=4.765 b=4.765 c=5.264 alpha=90.00 beta=90.00 gamma=90.00
Fractional coordinates of all 5 atoms:
Rb 0.000 0.000 0.000
In 0.500 0.500 0.000
Si 0.000 0.500 0.500
Si 0.500 0.000 0.500
Tc 0.500 0.500 0.500



[11]
Entry from Alexandria: an optimized crystal structure of BaLaHg2Rh (PBE).

Fermi-level density of states = 3.89 states/eV per cell
Energy of formation from the pure elements = -0.423 eV per atom
Space-group type = P4/mmm (123)
Total magnetization = 0.0 μB/f.u.

Unit cell a=5.546 b=5.546 c=5.089 alpha=90.00 beta=90.00 gamma=90.00
Fractional coordinates of all 5 atoms:
Ba 0.000 0.000 0.000
La 0.500 0.500 0.000
Hg 0.000 0.500 0.500
Hg 0.500 0.000 0.500
Rh 0.500 0.500 0.500



[12]
Entry from Alexandria: an optimized crystal structure of Nd2Sm12Tl5 (PBE).

Fermi-level density of states = 25.98 states/eV per cell
Energy of formation from the pure elements = -0.077 eV per atom
Space-group type = C2/m (12)
Total magnetization = 0.0 μB/f.u.

Unit cell a=8.628 b=8.628 c=8.770 alpha=94.94 beta=94.94 gamma=70.50
Fractional coordinates of all 19 atoms:
Nd 0.166 0.834 0.000
Nd 0.834 0.166 0.000
Sm 0.088 0.088 0.674
Sm 0.088 0.675 0.631
Sm 0.163 0.532 0.203
Sm 0.325 0.912 0.369
Sm 0.407 0.407 0.855
Sm 0.468 0.837 0.797
Sm 0.532 0.163 0.203
Sm 0.593 0.593 0.145
Sm 0.675 0.088 0.631
Sm 0.837 0.468 0.797
Sm 0.912 0.325 0.369
Sm 0.912 0.912 0.326
Tl 0.200 0.200 0.007
Tl 0.280 0.280 0.507
Tl 0.500 0.500 0.500
Tl 0.720 0.720 0.493
Tl 0.800 0.800 0.993